Bi2MoO6 | PBE with a Hubbard U | relaxed

Geometry as POSCAR:
```
Bi2MoO6
1.0
-3.3747 3.3411 -1.8977
-3.1092 -0.8905 3.9614
4.5586 7.6077 5.2879
Bi Mo O
4 2 12
Direct
0.0000 0.0000 0.3349
0.5000 0.5000 0.8349
0.5000 0.5000 0.1651
0.0000 0.0000 0.6651
0.0000 0.0000 0.0000
0.5000 0.5000 0.5000
0.3188 0.3188 0.3596
0.6812 0.6812 0.3596
0.1812 0.8188 0.8596
0.8188 0.1812 0.8596
0.1812 0.8188 0.1404
0.8188 0.1812 0.1404
0.3188 0.3188 0.6404
0.6812 0.6812 0.6404
0.2742 0.2742 0.0000
0.7258 0.7258 0.0000
0.2258 0.7742 0.5000
0.7742 0.2258 0.5000
```

## Properties
As for the total energy: -113.8 eV/cell. As for the density: 7.50 g/cm³. Its space group is P4_2/mnm.